Compound: Ca2BeZn2Au4
Source: Alexandria via LeMat-Bulk
Functional: PBE
Structure: optimized geometry

POSCAR file:
```
Ca2BeZn2Au4
1.0
-6.0734 -0.7198 0.7788
2.0206 -0.5592 -5.7979
3.5414 -4.3505 2.5578
Ca Be Zn Au
2 1 2 4
Cartesian
-0.6359 -1.8669 -3.3196 Ca
0.1245 -3.7626 0.8583 Ca
0.0000 0.0000 0.0000 Be
3.8482 -3.3969 -2.2417 Zn
1.7137 -1.5128 -0.9983 Zn
2.4046 -1.5165 -3.6881 Au
1.1512 -4.0263 -2.0365 Au
3.1574 -3.3932 0.4481 Au
-1.6626 -1.6032 -0.4248 Au
```

## Properties
Magnetic moment (μB per formula unit): 0.00
Energy of formation from the pure elements (eV/atom): -0.446
SG: I4/mmm (139)
Density of states at the Fermi level (states/eV/f.u.): 3.58
E_tot (eV/atom): -3.044

---

Compound: PrSm2DyHo2
Source: Alexandria via LeMat-Bulk
Functional: PBE
Structure: optimized geometry

POSCAR file:
```
PrSm2DyHo2
1.0
3.4153 0.0000 0.0000
0.0000 6.5566 0.0000
0.0000 0.0000 18.0921
Pr Sm Dy Ho
2 4 2 4
Cartesian
0.0000 0.0000 0.0000 Pr
1.7077 3.2783 9.0460 Pr
1.7077 1.8440 5.6406 Sm
0.0000 5.1223 3.4054 Sm
1.7077 4.7126 12.4515 Sm
0.0000 1.4343 14.6866 Sm
1.7077 3.2783 0.0000 Dy
0.0000 0.0000 9.0460 Dy
1.7077 5.1414 6.3955 Ho
1.7077 1.4152 11.6965 Ho
0.0000 4.6935 15.4415 Ho
0.0000 1.8631 2.6505 Ho
```

## Properties
Magnetic moment (μB per formula unit): 0.00
Energy of formation from the pure elements (eV/atom): 0.267
SG: Pnnm (58)
Density of states at the Fermi level (states/eV/f.u.): 10.19
E_tot (eV/atom): -4.395

---

Compound: ZrTeCl
Source: Alexandria via LeMat-Bulk
Functional: PBE
Structure: optimized geometry

POSCAR file:
```
ZrTeCl
1.0
-2.0422 1.4693 -2.8040
2.4547 -4.5774 -4.1862
-5.4515 -3.4248 4.7063
Cl Zr Te
2 2 2
Cartesian
-2.8097 -4.8203 -0.4795 Cl
-2.2293 -1.7126 -1.8044 Cl
-2.7491 -2.3610 0.7650 Zr
-2.2899 -4.1719 -3.0489 Zr
-5.5794 -2.2213 0.3689 Te
0.5403 -4.3116 -2.6528 Te
```

## Properties
E_form (uncorrected) (eV per atom): -1.205
Magnetic moment (μB per formula unit): 0.00
SG: C2/m (12)
Density of states at the Fermi level (states/eV/f.u.): 2.25
E_tot (eV/atom): -5.717

---

Compound: TmAlPt
Source: Alexandria via LeMat-Bulk
Functional: PBE
Structure: optimized geometry

POSCAR file:
```
TmAlPt
1.0
-0.4771 -3.6479 -2.1200
4.3325 -3.1498 4.4448
-9.2468 -2.7268 6.7731
Tm Al Pt
6 6 6
Cartesian
-1.5402 -5.4231 3.3000 Tm
-2.4814 -5.8970 8.5794 Tm
-2.9101 -3.6274 0.5185 Tm
1.7162 -5.0163 1.8671 Tm
-3.8512 -4.1013 5.7979 Tm
-7.1076 -4.5081 7.2308 Tm
3.4210 -4.2801 4.4687 Al
-0.6478 -4.8463 6.3588 Al
-4.9498 -6.9189 6.6412 Al
-4.7437 -4.6781 2.7391 Al
-0.4417 -2.6055 2.4566 Al
-8.8124 -5.2443 4.6291 Al
-5.2104 -5.8081 9.0406 Pt
-6.2107 -5.6166 4.6842 Pt
-2.3397 -6.7333 5.7344 Pt
-0.1810 -3.7163 0.0572 Pt
-3.0518 -2.7911 3.3635 Pt
0.8193 -3.9078 4.4137 Pt
```

## Properties
Magnetic moment (μB per formula unit): 0.00
Energy of formation from the pure elements (eV/atom): -1.170
SG: P2_1/m (11)
Density of states at the Fermi level (states/eV/f.u.): 1.75
E_tot (eV/atom): -5.921

---

Compound: Ac3Al2ZnAu6
Source: Alexandria via LeMat-Bulk
Functional: PBE
Structure: optimized geometry

POSCAR file:
```
Ac3Al2ZnAu6
1.0
-1.7397 -5.6690 -2.7543
3.4124 4.3929 -3.4363
7.1399 -3.4766 2.6458
Ac Al Zn Au
3 2 1 6
Cartesian
6.3643 -1.2347 -1.4787 Ac
2.4483 -3.5181 -2.0661 Ac
0.0000 0.0000 0.0000 Ac
6.6591 -5.5684 -0.5057 Al
2.1535 0.8157 -3.0391 Al
3.5700 -1.7383 1.3229 Zn
3.8140 -1.0688 -3.7992 Au
3.0402 -0.4785 -0.9355 Au
4.6188 1.5536 -2.5251 Au
5.7724 -4.2742 -2.6093 Au
4.9986 -3.6839 0.2544 Au
4.1938 -6.3064 -1.0197 Au
```

## Properties
Magnetic moment (μB per formula unit): 0.00
Energy of formation from the pure elements (eV/atom): -0.507
SG: P-3m1 (164)
Density of states at the Fermi level (states/eV/f.u.): 6.76
E_tot (eV/atom): -3.903

---

Compound: LiGa2P2
Source: Alexandria via LeMat-Bulk
Functional: PBE
Structure: optimized geometry

POSCAR file:
```
LiGa2P2
1.0
6.9722 0.0000 0.0000
0.0000 6.9722 0.0000
0.0000 0.0000 3.4234
P Ga Li
4 4 2
Cartesian
2.3626 5.8487 0.0000 P
5.8487 4.6097 0.0000 P
4.6097 1.1235 0.0000 P
1.1235 2.3626 0.0000 P
1.0033 4.4894 1.7117 Ga
4.4894 5.9690 1.7117 Ga
5.9690 2.4828 1.7117 Ga
2.4828 1.0033 1.7117 Ga
0.0000 0.0000 0.0000 Li
3.4861 3.4861 0.0000 Li
```

## Properties
Magnetic moment (μB per formula unit): 0.00
Energy of formation from the pure elements (eV/atom): -0.071
SG: P4/mbm (127)
Density of states at the Fermi level (states/eV/f.u.): 1.48
E_tot (eV/atom): -3.828
Offset from the most stable computed form (eV/f.u.): 0.07

---

Compound: PmCdPd
Source: Alexandria via LeMat-Bulk
Functional: PBE
Structure: optimized geometry

POSCAR file:
```
PmCdPd
1.0
-1.6750 2.8752 -1.4523
-1.1436 -2.5869 -3.8024
-2.9321 0.1704 3.7191
Cd Pd Pm
1 1 1
Cartesian
-0.2787 0.4785 -0.2417 Cd
-2.0197 -1.1873 -1.5379 Pd
-3.4523 1.1676 0.2440 Pm
```

## Properties
Magnetic moment (μB per formula unit): 0.00
Energy of formation from the pure elements (eV/atom): -0.544
SG: P-6m2 (187)
Density of states at the Fermi level (states/eV/f.u.): 2.49
E_tot (eV/atom): -4.163
Offset from the most stable computed form (eV/f.u.): 0.33

---

Compound: Pd2PtAu2
Source: Alexandria via LeMat-Bulk
Functional: PBE
Structure: optimized geometry

POSCAR file:
```
Pd2PtAu2
1.0
-1.1479 -1.4299 2.1758
-1.1264 -2.5777 -0.4277
9.6530 -6.2597 2.8393
Pd Pt Au
2 1 2
Cartesian
0.4920 -3.6215 1.6007 Pd
6.8867 -6.6458 2.9867 Pd
0.0000 0.0000 0.0000 Pt
3.3365 -3.2724 1.4702 Au
4.0422 -6.9949 3.1172 Au
```

## Properties
Magnetic moment (μB per formula unit): 0.00
Energy of formation from the pure elements (eV/atom): -0.023
SG: R-3m (166)
Density of states at the Fermi level (states/eV/f.u.): 6.78
E_tot (eV/atom): -4.620
Offset from the most stable computed form (eV/f.u.): 0.00

---

Compound: BePtRh2
Source: Alexandria via LeMat-Bulk
Functional: PBE
Structure: optimized geometry

POSCAR file:
```
BePtRh2
1.0
-0.2924 -0.0807 2.7393
-2.9278 -3.2776 -0.4091
3.3223 -3.0009 0.2662
Be Rh Pt
1 2 1
Cartesian
1.5150 -1.5408 1.5027 Be
0.0000 0.0000 0.0000 Rh
-1.6101 -1.6792 1.1651 Rh
0.1973 -3.1393 -0.0715 Pt
```

## Properties
Magnetic moment (μB per formula unit): 0.00
Energy of formation from the pure elements (eV/atom): -0.070
SG: Pmmm (47)
Density of states at the Fermi level (states/eV/f.u.): 5.47
E_tot (eV/atom): -6.187

---

Compound: La12Hg3H5
Source: Alexandria via LeMat-Bulk
Functional: PBE
Structure: optimized geometry

POSCAR file:
```
La12Hg3H5
1.0
-3.5402 11.9829 6.7580
4.2892 -9.6847 9.4659
10.5308 2.6610 -9.1551
Hg H La
12 20 48
Cartesian
0.2696 5.6881 7.4738 Hg
1.4355 3.5542 11.8683 Hg
8.4710 -1.1068 3.9118 Hg
3.6001 2.7830 -0.5604 Hg
0.0711 9.9397 4.8077 Hg
3.9858 -0.8941 6.1617 Hg
7.2939 5.8533 0.9071 Hg
11.2086 -4.9805 2.2611 Hg
7.6796 2.1762 7.6292 Hg
2.8087 6.0660 3.1571 Hg
9.8442 1.4051 -4.7995 Hg
11.0101 -0.7288 -0.4050 Hg
3.7986 -1.4686 2.1057 H
2.1446 -4.8423 4.7330 H
0.0000 0.0000 0.0000 H
1.0610 2.4051 3.7563 H
3.4953 7.3220 -1.1986 H
0.3745 1.1491 8.1120 H
6.7234 -4.7678 4.5110 H
7.0954 10.1050 -1.7590 H
3.9746 3.9322 7.5515 H
7.1066 5.2788 -3.1488 H
4.1731 -0.3195 10.2177 H
5.6398 2.4796 3.5344 H
-1.7701 5.9915 3.3790 H
5.2654 1.3305 -4.5776 H
7.3051 1.0271 -0.4827 H
4.1843 -5.1457 8.8278 H
7.4100 -3.5118 0.1554 H
4.5563 9.7270 2.5578 H
10.2186 2.5542 3.3125 H
7.4811 6.4279 4.9631 H
-1.8736 7.4691 5.6672 La
5.4078 -0.2200 3.2372 La
1.2724 8.7827 7.6795 La
0.2095 4.4579 4.4559 La
8.2014 2.1653 4.4117 La
1.0800 6.5626 10.5075 La
6.5310 -2.9149 5.9107 La
4.6801 -7.3229 8.1623 La
9.4091 -0.5857 6.9896 La
2.0851 3.1897 8.6950 La
3.3929 5.8458 6.3563 La
1.1952 0.9405 13.9029 La
8.0814 -4.1787 2.7117 La
1.4027 1.0105 5.5914 La
7.6609 -6.5571 5.6723 La
5.2908 5.3308 -1.6897 La
2.6597 -0.1203 0.5846 La
2.2324 -0.6507 8.9715 La
4.0825 1.7347 11.3135 La
2.3143 -2.3341 3.6795 La
11.1804 -2.7349 4.7077 La
4.7346 2.2777 6.0976 La
5.6857 4.4154 9.0573 La
8.0048 8.9087 0.0217 La
6.5450 2.6816 0.9712 La
5.5940 0.5438 -1.9885 La
3.2749 -3.9495 7.0471 La
7.1972 3.2245 -4.2447 La
0.0993 7.6942 2.3612 La
8.9654 7.2933 3.3893 La
9.0473 5.6100 -1.9027 La
5.9889 -0.3715 8.7585 La
8.6200 5.0796 6.4842 La
3.6188 11.5163 1.3965 La
3.1983 9.1380 4.3571 La
10.0845 4.0188 -6.8341 La
9.8769 3.9488 1.4775 La
1.8706 5.5450 0.0792 La
9.1946 1.7695 -1.6261 La
7.8868 -0.8865 0.7125 La
6.5996 12.2822 -1.0935 La
4.7487 7.8742 1.1581 La
11.0702 0.5013 2.6129 La
10.1997 -1.6034 -3.4387 La
3.0783 2.7940 2.6571 La
10.0073 -3.8235 -0.6107 La
5.8719 5.1792 3.8316 La
13.1532 -2.5098 1.4016 La
```

## Properties
Magnetic moment (μB per formula unit): 0.00
SG: Ia-3d (230)
Density of states at the Fermi level (states/eV/f.u.): 23.96
E_tot (eV/atom): -4.109